Entry from Alexandria via LeMat-Bulk: a relaxed MgCoSi2O6 crystal (PBE with a Hubbard U).

Cell: 5.275 18.444 9.006 Å, 90.00 90.00 90.00°
Space group Pbca (No. 61)
Inequivalent atoms, fractional coordinates:
1 Mg 0.119 0.124 0.153 [8 per cell]
2 Co 0.124 0.125 0.509 [8 per cell]
3 Si 0.065 0.727 0.660 [8 per cell]
4 Si 0.215 0.026 0.837 [8 per cell]
5 O 0.053 0.684 0.164 [8 per cell]
6 O 0.062 0.689 0.499 [8 per cell]
7 O 0.081 0.551 0.704 [8 per cell]
8 O 0.158 0.196 0.726 [8 per cell]
9 O 0.196 0.567 0.986 [8 per cell]
10 O 0.214 0.564 0.339 [8 per cell]

Summary:
Calculated volume in Å³ per cell: 876.2
Distance to the lowest polymorph of the same formula in eV/atom: 0.000